[1]
Compound: Ga9Ag2Pb3
Source: Alexandria
Functional: PBE-GGA
Structure: relaxed

The structure in extended XYZ format:
```
14
Lattice="-2.237 5.195 6.455 2.237 -5.195 6.455 2.237 5.195 -6.455" Properties=species:S:1:pos:R:3 pbc="T T T"
Ga 0.000 0.000 0.000
Ga 2.237 -2.908 4.661
Ga 2.237 3.859 -2.119
Ga 0.000 2.286 1.794
Ga 0.000 1.336 4.336
Ga 2.237 3.859 2.119
Ga 2.237 2.908 4.661
Ga 0.000 1.336 8.573
Ga 0.000 8.103 1.794
Ag 2.237 2.113 0.000
Ag 0.000 3.082 6.455
Pb 2.237 0.000 2.381
Pb 0.000 5.195 0.000
Pb 0.000 5.195 4.074
```

Summary:
The space-group type is No. 71. The value obtained for the energy of formation is 0.5 eV/f.u. For the energy, the calculation gives -3.114 eV/atom.



[2]
Compound: GaAgPb3
Source: Alexandria
Functional: PBE-GGA
Structure: relaxed

The structure in extended XYZ format:
```
5
Lattice="5.498 0.000 0.000 0.000 5.498 0.000 0.000 0.000 5.498" Properties=species:S:1:pos:R:3 pbc="T T T"
Ga 0.000 0.000 0.000
Ag 2.749 2.749 2.749
Pb 0.000 0.000 2.749
Pb 0.000 2.749 0.000
Pb 2.749 0.000 0.000
```

Summary:
The space-group type is No. 221. The value obtained for the distance to the lowest polymorph of the same formula is 19 kJ/mol of formula units. The value obtained for the energy of formation is 2.4 eV/f.u. For the energy, the calculation gives -2.916 eV/atom.



[3]
Compound: GaAg3Pb
Source: Alexandria
Functional: PBE-GGA
Structure: relaxed

The structure in extended XYZ format:
```
5
Lattice="4.934 0.000 0.000 0.000 4.934 0.000 0.000 0.000 4.934" Properties=species:S:1:pos:R:3 pbc="T T T"
Ga 0.000 0.000 0.000
Ag 0.000 0.000 2.467
Ag 0.000 2.467 0.000
Ag 2.467 0.000 0.000
Pb 2.467 2.467 2.467
```

Summary:
The space-group type is No. 221. The value obtained for the distance to the lowest polymorph of the same formula is 0 kJ/mol of formula units. The value obtained for the energy of formation is 1.4 eV/f.u. For the energy, the calculation gives -2.779 eV/atom.



[4]
Compound: GaAg3Pb
Source: Alexandria
Functional: PBE-GGA
Structure: relaxed

The structure in extended XYZ format:
```
5
Lattice="5.355 0.000 0.000 0.000 5.355 0.000 0.000 0.000 5.355" Properties=species:S:1:pos:R:3 pbc="T T T"
Ga 0.000 0.000 0.000
Ag 0.000 2.677 2.677
Ag 2.677 0.000 2.677
Ag 2.677 2.677 0.000
Pb 2.677 2.677 2.677
```

Summary:
The space-group type is No. 221. The value obtained for the distance to the lowest polymorph of the same formula is 166 kJ/mol of formula units. The value obtained for the energy of formation is 3.1 eV/f.u. For the energy, the calculation gives -2.435 eV/atom.



[5]
Compound: Ga4Ag2Pb
Source: Alexandria
Functional: PBE-GGA
Structure: relaxed

The structure in extended XYZ format:
```
7
Lattice="-2.714 2.714 6.768 2.714 -2.714 6.768 2.714 2.714 -6.768" Properties=species:S:1:pos:R:3 pbc="T T T"
Ga 2.714 0.000 0.000
Ga 0.000 0.000 2.872
Ga 0.000 2.714 0.000
Ga 0.000 0.000 10.664
Ag 0.000 0.000 5.412
Ag 0.000 0.000 8.123
Pb 0.000 0.000 0.000
```

Summary:
The space-group type is No. 139. The value obtained for the distance to the lowest polymorph of the same formula is 298 kJ/mol of formula units. The value obtained for the energy of formation is 3.3 eV/f.u. For the energy, the calculation gives -2.599 eV/atom.



[6]
Compound: GaAg4Pb
Source: Alexandria
Functional: PBE-GGA
Structure: relaxed

The structure in extended XYZ format:
```
6
Lattice="0.000 3.971 3.971 3.971 0.000 3.971 3.971 3.971 0.000" Properties=species:S:1:pos:R:3 pbc="T T T"
Ga 0.000 0.000 0.000
Ag 2.976 2.976 2.976
Ag 4.967 4.967 2.976
Ag 4.967 2.976 4.967
Ag 2.976 4.967 4.967
Pb 5.957 5.957 5.957
```

Summary:
The space-group type is No. 216. The value obtained for the energy of formation is 0.8 eV/f.u. For the energy, the calculation gives -2.889 eV/atom.



[7]
Compound: GaAg2Pb
Source: Alexandria
Functional: PBE-GGA
Structure: relaxed

The structure in extended XYZ format:
```
8
Lattice="-3.920 3.920 2.974 3.920 -3.920 2.974 3.920 3.920 -2.974" Properties=species:S:1:pos:R:3 pbc="T T T"
Ga 0.000 0.000 0.000
Ga 0.000 3.920 1.487
Ag 5.880 1.666 -0.743
Ag 1.666 1.960 0.743
Ag -1.960 2.254 2.230
Ag 2.254 1.960 3.717
Pb 3.920 0.000 1.487
Pb 0.000 0.000 2.974
```

Summary:
The space-group type is No. 122. The value obtained for the distance to the lowest polymorph of the same formula is 44 kJ/mol of formula units. The value obtained for the energy of formation is 0.7 eV/f.u. For the energy, the calculation gives -2.929 eV/atom.



[8]
Compound: GaAg2Pb
Source: Alexandria
Functional: PBE-GGA
Structure: relaxed

The structure in extended XYZ format:
```
4
Lattice="3.476 0.000 0.000 0.000 3.476 0.000 0.000 0.000 7.050" Properties=species:S:1:pos:R:3 pbc="T T T"
Ga 0.000 0.000 0.000
Ag 1.738 1.738 1.469
Ag 1.738 1.738 5.582
Pb 0.000 0.000 3.525
```

Summary:
The space-group type is No. 123. The value obtained for the distance to the lowest polymorph of the same formula is 0 kJ/mol of formula units. The value obtained for the energy of formation is 0.3 eV/f.u. For the energy, the calculation gives -3.042 eV/atom.



[9]
Compound: GaAgPb3
Source: Alexandria
Functional: PBE-GGA
Structure: relaxed

The structure in extended XYZ format:
```
5
Lattice="5.532 0.000 0.000 0.000 5.532 0.000 0.000 0.000 5.532" Properties=species:S:1:pos:R:3 pbc="T T T"
Ga 0.000 0.000 0.000
Ag 2.766 2.766 2.766
Pb 0.000 2.766 2.766
Pb 2.766 0.000 2.766
Pb 2.766 2.766 0.000
```

Summary:
The space-group type is No. 221. The value obtained for the distance to the lowest polymorph of the same formula is 0 kJ/mol of formula units. The value obtained for the energy of formation is 2.2 eV/f.u. For the energy, the calculation gives -2.956 eV/atom.



[10]
Compound: Ga12Ag5Pb3
Source: Alexandria
Functional: PBE-GGA
Structure: relaxed

The structure in extended XYZ format:
```
80
Lattice="-8.002 8.002 8.002 8.002 -8.002 8.002 8.002 8.002 -8.002" Properties=species:S:1:pos:R:3 pbc="T T T"
Ga 2.357 -0.346 1.125
Ga 9.646 5.126 -4.347
Ga 7.656 -1.125 2.357
Ga 12.349 -1.644 2.876
Ga 10.359 0.346 1.125
Ga 9.646 -2.876 4.347
Ga 1.125 2.357 -0.346
Ga 10.878 3.655 -1.644
Ga 5.126 4.347 -1.644
Ga 6.877 2.357 0.346
Ga -0.346 1.125 2.357
Ga 4.347 -1.644 5.126
Ga 7.656 6.877 -2.357
Ga 4.347 1.644 2.876
Ga 6.877 -2.357 7.656
Ga 5.126 -4.347 9.646
Ga 2.876 4.347 1.644
Ga 9.127 5.645 0.346
Ga 2.357 7.656 -1.125
Ga 9.646 2.876 3.655
Ga 4.347 9.646 -2.876
Ga 7.656 1.125 5.645
Ga 1.644 2.876 4.347
Ga 2.357 0.346 6.877
Ga 5.645 7.656 1.125
Ga 6.358 5.126 3.655
Ga 0.346 6.877 2.357
Ga 3.655 -1.644 10.878
Ga -1.644 5.126 4.347
Ga 5.645 0.346 9.127
Ga -1.125 2.357 7.656
Ga 5.126 3.655 6.358
Ga 2.876 12.349 -1.644
Ga 1.125 10.359 0.346
Ga 3.655 6.358 5.126
Ga 0.346 1.125 10.359
Ga 3.655 9.646 2.876
Ga 8.348 6.877 5.645
Ga 1.125 5.645 7.656
Ga 2.876 3.655 9.646
Ga -2.876 4.347 9.646
Ga 6.877 5.645 8.348
Ga -1.644 10.878 3.655
Ga -2.357 7.656 6.877
Ga -4.347 9.646 5.126
Ga 0.346 9.127 5.645
Ga -1.644 2.876 12.349
Ga 5.645 8.348 6.877
Ag 0.000 0.000 0.000
Ag 4.001 4.001 -4.001
Ag 4.001 -4.001 4.001
Ag 8.002 0.000 0.000
Ag 12.003 2.001 0.000
Ag 8.002 -4.001 6.002
Ag 6.002 8.002 -4.001
Ag 6.002 0.000 4.001
Ag 4.001 6.002 0.000
Ag 8.002 4.001 2.001
Ag -4.001 4.001 4.001
Ag 0.000 8.002 0.000
Ag 0.000 0.000 8.002
Ag 4.001 4.001 4.001
Ag 0.000 4.001 6.002
Ag 4.001 2.001 8.002
Ag 2.001 8.002 4.001
Ag 2.001 0.000 12.003
Ag 0.000 12.003 2.001
Ag -4.001 6.002 8.002
Pb 4.001 2.001 0.000
Pb 8.002 4.001 -2.001
Pb 2.001 0.000 4.001
Pb 10.003 0.000 4.001
Pb 0.000 4.001 2.001
Pb 4.001 -2.001 8.002
Pb 4.001 10.003 0.000
Pb 8.002 4.001 6.002
Pb -2.001 8.002 4.001
Pb 6.002 8.002 4.001
Pb 0.000 4.001 10.003
Pb 4.001 6.002 8.002
```

Summary:
The space-group type is No. 230. The value obtained for the energy of formation is 5.1 eV/f.u. For the energy, the calculation gives -2.832 eV/atom.



[11]
Compound: GaAgPt2Pb
Source: Alexandria
Functional: PBE-GGA
Structure: relaxed

The structure in extended XYZ format:
```
5
Lattice="5.147 0.000 0.000 0.000 5.147 0.000 0.000 0.000 5.308" Properties=species:S:1:pos:R:3 pbc="T T T"
Ga 0.000 0.000 0.000
Ag 2.573 2.573 0.000
Pt 0.000 2.573 2.654
Pt 2.573 0.000 2.654
Pb 2.573 2.573 2.654
```

Summary:
The space-group type is No. 123. The value obtained for the energy of formation is 4.4 eV/f.u. For the energy, the calculation gives -3.446 eV/atom.



[12]
Compound: PuGaAgPb
Source: Alexandria
Functional: PBE-GGA
Structure: relaxed

The structure in extended XYZ format:
```
4
Lattice="0.000 3.607 3.607 3.607 0.000 3.607 3.607 3.607 0.000" Properties=species:S:1:pos:R:3 pbc="T T T"
Pu 0.000 0.000 0.000
Ga 5.410 5.410 5.410
Ag 3.607 3.607 3.607
Pb 1.803 1.803 1.803
```

Summary:
The space-group type is No. 216. The value obtained for the energy of formation is -0.2 eV/f.u. For the energy, the calculation gives -6.030 eV/atom.



[13]
Compound: GaAgPb2S4
Source: Alexandria
Functional: PBE-GGA
Structure: relaxed

The structure in extended XYZ format:
```
8
Lattice="6.124 0.000 0.000 -1.473 6.317 0.000 -2.310 -3.160 5.458" Properties=species:S:1:pos:R:3 pbc="T T T"
Ga 0.000 0.000 0.000
Ag -0.729 3.155 2.824
Pb 2.325 3.161 0.490
Pb 3.064 -0.010 3.004
S -1.007 -1.801 4.107
S 0.029 4.968 1.128
S 1.036 1.804 4.101
S 4.621 1.341 1.138
```

Summary:
The space-group type is No. 1. Its uncorrected formation energy is -0.438 eV per atom. For the energy, the calculation gives -4.164 eV/atom.



[14]
Compound: Ga2AgPbS
Source: Alexandria
Functional: PBE-GGA
Structure: relaxed

The structure in extended XYZ format:
```
5
Lattice="4.975 0.000 0.000 0.000 4.975 0.000 0.000 0.000 5.172" Properties=species:S:1:pos:R:3 pbc="T T T"
Ga 0.000 2.488 0.000
Ga 2.488 0.000 0.000
Ag 0.000 0.000 0.000
Pb 2.488 2.488 2.586
S 0.000 0.000 2.586
```

Summary:
The space-group type is No. 123. Its uncorrected formation energy is 0.298 eV per atom. For the energy, the calculation gives -3.050 eV/atom.



[15]
Compound: GaAgPb2Se
Source: Alexandria
Functional: PBE-GGA
Structure: relaxed

The structure in extended XYZ format:
```
5
Lattice="3.274 -1.877 0.000 3.274 1.877 0.000 -2.187 0.000 10.966" Properties=species:S:1:pos:R:3 pbc="T T T"
Ga 0.000 0.000 0.000
Ag 2.189 0.000 7.022
Pb 0.025 0.000 4.974
Pb 2.172 0.000 2.345
Se 2.183 0.000 9.638
```

Summary:
The space-group type is No. 8. The value obtained for the distance to the lowest polymorph of the same formula is 0 kJ/mol of formula units. Its uncorrected formation energy is -0.076 eV per atom. For the energy, the calculation gives -3.432 eV/atom.



[16]
Compound: GaAgPb2Se
Source: Alexandria
Functional: PBE-GGA
Structure: relaxed

The structure in extended XYZ format:
```
5
Lattice="3.765 0.000 0.000 -1.882 3.260 0.000 0.000 0.000 10.999" Properties=species:S:1:pos:R:3 pbc="T T T"
Ga 0.000 0.000 0.000
Ag 1.882 1.087 3.944
Pb 0.000 0.000 6.006
Pb 0.000 2.174 8.654
Se 1.882 1.087 1.330
```

Summary:
The space-group type is No. 156. The value obtained for the distance to the lowest polymorph of the same formula is 1 kJ/mol of formula units. Its uncorrected formation energy is -0.074 eV per atom. For the energy, the calculation gives -3.430 eV/atom.



[17]
Compound: GaAgPb2Se
Source: Alexandria
Functional: PBE-GGA
Structure: relaxed

The structure in extended XYZ format:
```
5
Lattice="3.680 0.000 0.000 1.839 3.188 0.000 0.077 -0.043 11.855" Properties=species:S:1:pos:R:3 pbc="T T T"
Ga 0.000 0.000 0.000
Ag 3.774 2.062 7.878
Pb 1.914 3.150 2.872
Pb 1.938 0.998 5.737
Se 3.758 2.080 10.526
```

Summary:
The space-group type is No. 1. The value obtained for the distance to the lowest polymorph of the same formula is 9 kJ/mol of formula units. Its uncorrected formation energy is -0.057 eV per atom. For the energy, the calculation gives -3.413 eV/atom.



[18]
Compound: GaAgPb2Se
Source: Alexandria
Functional: PBE-GGA
Structure: relaxed

The structure in extended XYZ format:
```
5
Lattice="4.831 0.000 0.000 0.000 6.055 0.000 -2.356 0.000 4.833" Properties=species:S:1:pos:R:3 pbc="T T T"
Ga 0.000 0.000 0.000
Ag 2.440 0.000 1.288
Pb -2.291 3.028 4.708
Pb 0.039 0.000 3.025
Se 0.117 3.028 2.994
```

Summary:
The space-group type is No. 6. The value obtained for the distance to the lowest polymorph of the same formula is 25 kJ/mol of formula units. Its uncorrected formation energy is -0.025 eV per atom. For the energy, the calculation gives -3.381 eV/atom.



[19]
Compound: GaAgPb2Se
Source: Alexandria
Functional: PBE-GGA
Structure: relaxed

The structure in extended XYZ format:
```
5
Lattice="3.631 0.000 0.000 0.013 5.314 0.000 1.798 1.994 7.692" Properties=species:S:1:pos:R:3 pbc="T T T"
Ga 0.000 0.000 0.000
Ag 3.636 2.483 0.579
Pb 1.813 3.789 2.694
Pb 3.620 1.160 3.628
Se 3.627 5.906 6.539
```

Summary:
The space-group type is No. 1. The value obtained for the distance to the lowest polymorph of the same formula is 27 kJ/mol of formula units. Its uncorrected formation energy is -0.021 eV per atom. For the energy, the calculation gives -3.377 eV/atom.



[20]
Compound: GaAgPb2Se
Source: Alexandria
Functional: PBE-GGA
Structure: relaxed

The structure in extended XYZ format:
```
5
Lattice="5.735 -1.929 0.000 5.735 1.929 0.000 -0.215 0.000 5.902" Properties=species:S:1:pos:R:3 pbc="T T T"
Ga 0.000 0.000 0.000
Ag 6.120 0.000 4.189
Pb 3.100 0.000 5.422
Pb 9.373 0.000 2.536
Se 0.980 0.000 2.317
```

Summary:
The space-group type is No. 8. The value obtained for the distance to the lowest polymorph of the same formula is 8 kJ/mol of formula units. Its uncorrected formation energy is -0.060 eV per atom. For the energy, the calculation gives -3.416 eV/atom.